(1)
Here is an optimized crystal structure of Rb5Au4I from the Alexandria database. Energies are from PBE-GGA.

The structure in CIF format:
```
data_Rb5Au4I
_symmetry_space_group_name_H-M 'I 4/m'
_symmetry_Int_Tables_number 87
_symmetry_space_group_name_Hall '-I 4'
_cell_length_a 11.346
_cell_length_b 11.346
_cell_length_c 7.195
_cell_angle_alpha 90.00
_cell_angle_beta 90.00
_cell_angle_gamma 90.00
loop_
_atom_site_label
_atom_site_type_symbol
_atom_site_fract_x
_atom_site_fract_y
_atom_site_fract_z
Rb1 Rb 0.000 0.000 0.000
Rb2 Rb 0.103 0.693 0.500
Au1 Au 0.102 0.699 0.000
I1 I 0.000 0.000 0.500
```

* crystal system: tetragonal
* E: -2.4544 eV per atom

=====

(2)
Here is an optimized crystal structure of Rb6AuI4 from the Alexandria database. Energies are from PBE-GGA.

The structure in CIF format:
```
data_Rb6AuI4
_symmetry_space_group_name_H-M 'R -3 c'
_symmetry_Int_Tables_number 167
_symmetry_space_group_name_Hall '-R 3 2"c'
_cell_length_a 14.9050
_cell_length_b 14.9050
_cell_length_c 18.0043
_cell_angle_alpha 90.00
_cell_angle_beta 90.00
_cell_angle_gamma 120.00
loop_
_atom_site_label
_atom_site_type_symbol
_atom_site_fract_x
_atom_site_fract_y
_atom_site_fract_z
Rb1 Rb 0.0298 0.1977 0.3892
Au1 Au 0.0000 0.0000 0.0000
I1 I 0.0000 0.0000 0.2500
I2 I 0.0000 0.3765 0.2500
```

* crystal system: trigonal
* E: -2.4523 eV per atom

=====

(3)
Here is an optimized crystal structure of RbAuI2 from the Alexandria database. Energies are from PBE-GGA.

The structure in CIF format:
```
data_RbAuI2
_symmetry_space_group_name_H-M 'I -4 2 d'
_symmetry_Int_Tables_number 122
_symmetry_space_group_name_Hall 'I -4 2bw'
_cell_length_a 8.690
_cell_length_b 8.690
_cell_length_c 8.708
_cell_angle_alpha 90.00
_cell_angle_beta 90.00
_cell_angle_gamma 90.00
loop_
_atom_site_label
_atom_site_type_symbol
_atom_site_fract_x
_atom_site_fract_y
_atom_site_fract_z
Rb1 Rb 0.000 0.000 0.000
Au1 Au 0.000 0.000 0.500
I1 I 0.170 0.250 0.625
```

* energy above the lowest structure with this stoichiometry: 0.36 eV/f.u.
* crystal system: tetragonal

=====

(4)
Here is an optimized crystal structure of RbAu2I8 from the Alexandria database. Energies are from PBE-GGA.

The structure in CIF format:
```
data_RbAu2I8
_symmetry_space_group_name_H-M 'C 1 2/m 1'
_symmetry_Int_Tables_number 12
_symmetry_space_group_name_Hall '-C 2y'
_cell_length_a 8.808
_cell_length_b 16.897
_cell_length_c 5.859
_cell_angle_alpha 90.00
_cell_angle_beta 91.23
_cell_angle_gamma 90.00
loop_
_atom_site_label
_atom_site_type_symbol
_atom_site_fract_x
_atom_site_fract_y
_atom_site_fract_z
Rb1 Rb 0.000 0.000 0.000
Au1 Au 0.000 0.257 0.500
I1 I 0.000 0.243 0.000
I2 I 0.094 0.500 0.811
I3 I 0.232 0.136 0.511
```

* crystal system: monoclinic
* E: -1.9642 eV per atom

=====

(5)
Here is an optimized crystal structure of Rb4AuI7 from the Alexandria database. Energies are from PBE-GGA.

The structure in CIF format:
```
data_Rb4AuI7
_symmetry_space_group_name_H-M 'C 1 2/m 1'
_symmetry_Int_Tables_number 12
_symmetry_space_group_name_Hall '-C 2y'
_cell_length_a 19.000
_cell_length_b 6.125
_cell_length_c 12.129
_cell_angle_alpha 90.00
_cell_angle_beta 119.70
_cell_angle_gamma 90.00
loop_
_atom_site_label
_atom_site_type_symbol
_atom_site_fract_x
_atom_site_fract_y
_atom_site_fract_z
Rb1 Rb 0.048 0.000 0.235
Rb2 Rb 0.217 0.000 0.805
Au1 Au 0.000 0.500 0.500
I1 I 0.000 0.000 0.500
I2 I 0.065 0.500 0.750
I3 I 0.154 0.000 0.057
I4 I 0.242 0.500 0.484
```

* crystal system: monoclinic
* E: -2.4968 eV per atom

=====

(6)
Here is an optimized crystal structure of Rb4AuI from the Alexandria database. Energies are from PBE-GGA.

The structure in CIF format:
```
data_Rb4AuI
_symmetry_space_group_name_H-M 'C 1 2/c 1'
_symmetry_Int_Tables_number 15
_symmetry_space_group_name_Hall '-C 2yc'
_cell_length_a 11.952
_cell_length_b 17.840
_cell_length_c 8.625
_cell_angle_alpha 90.00
_cell_angle_beta 131.60
_cell_angle_gamma 90.00
loop_
_atom_site_label
_atom_site_type_symbol
_atom_site_fract_x
_atom_site_fract_y
_atom_site_fract_z
Rb1 Rb 0.171 0.219 0.160
Rb2 Rb 0.242 0.036 0.670
Au1 Au 0.000 0.094 0.750
I1 I 0.000 0.380 0.750
```

* crystal system: monoclinic
* E: -1.9855 eV per atom

=====

no.,density of states at the Fermi level (states/eV per cell)
1,0.00
2,26.26
3,0.00
4,14.60
5,8.89
6,11.31